# ScHg2Bi GGA-PBE optimized geometry
data_ScHg2Bi
_chemical_formula_sum 'Sc3 Hg6 Bi3'
_space_group_name_H-M_alt 'R 3 m'
_space_group_IT_number 160
_space_group_name_Hall 'R 3 -2"'
_cell_length_a 4.7104
_cell_length_b 4.7104
_cell_length_c 17.0231
_cell_angle_alpha 90.00
_cell_angle_beta 90.00
_cell_angle_gamma 120.00
loop_
_atom_site_label
_atom_site_type_symbol
_atom_site_fract_x
_atom_site_fract_y
_atom_site_fract_z
_atom_site_occupancy
Sc1 Sc 0.0000 0.0000 0.0000 1
Hg1 Hg 0.0000 0.0000 0.3874 1
Hg2 Hg 0.0000 0.0000 0.5865 1
Bi1 Bi 0.0000 0.0000 0.8087 1
# ρ ... 9.98 g/cm³
# VASP energy ... -2.8689 eV per atom